(1)
Below is Cd2HgAs after structural relaxation, with properties calculated at the GGA-PBEsol level.

POSCAR file:
```
Cd2HgAs
1.0
4.1055 0.0000 0.0000
0.0000 5.2464 0.0000
-0.1074 0.0000 4.1065
Cd Hg As
2 1 1
Direct
0.0000 0.0000 0.0000 Cd
0.2882 0.5000 0.7147 Cd
0.7827 0.5000 0.2203 Hg
0.4845 0.0000 0.5157 As
```

Results
Energy = -1.940 eV per atom
Energy above the most stable polymorph in this dataset = 44 meV per atom
Space group = Pm
Density of states at the Fermi level = 0.38 states/eV per atom
Size of the total moment = 0.0 μB/cell
Calculated volume = 88.4 Å³ per cell
Theoretical density = 9.4 Mg/m³
Energy relative to the elements = 0.305 eV per formula unit

---

(2)
Below is Mg3InSn after structural relaxation, with properties calculated at the GGA-PBEsol level.

POSCAR file:
```
Mg3InSn
1.0
5.3306 0.0000 0.0000
0.0000 5.3306 0.0000
0.0000 0.0000 5.3306
Mg In Sn
3 1 1
Direct
0.0000 0.0000 0.5000 Mg
0.0000 0.5000 0.0000 Mg
0.5000 0.0000 0.0000 Mg
0.5000 0.5000 0.5000 In
0.0000 0.0000 0.0000 Sn
```

Results
Energy = -2.177 eV per atom
Space group = Pm-3m
Density of states at the Fermi level = 0.58 states/eV per atom
Size of the total moment = 0.0 μB/cell
Calculated volume = 151.5 Å³ per cell
Theoretical density = 3.4 Mg/m³
Energy relative to the elements = 1.506 eV per formula unit

---

(3)
Below is CrFeMo2 after structural relaxation, with properties calculated at the GGA-PBEsol level.

POSCAR file:
```
CrFeMo2
1.0
-1.5117 2.1001 4.1565
1.5117 -2.1001 4.1565
1.5117 2.1001 -4.1565
Cr Fe Mo
1 1 2
Direct
0.0000 0.0000 0.0000 Cr
0.2490 0.7490 0.5000 Fe
0.5053 0.5053 0.0000 Mo
0.7596 0.2596 0.5000 Mo
```

Results
Energy = -10.524 eV per atom
Energy above the most stable polymorph in this dataset = 39 meV per atom
Space group = Imm2
Density of states at the Fermi level = 0.89 states/eV per atom
Size of the total moment = 1.9 μB/cell
Calculated volume = 52.8 Å³ per cell
Theoretical density = 9.4 Mg/m³
Energy relative to the elements = 0.647 eV per formula unit